Below is BaMg2Fe after structural relaxation, with properties calculated at the PBE level.

Results
Calculated volume ... 29.4 Å³ per atom
Energy of formation from the pure elements ... 338 meV per atom
SG ... No. 8

abc: 8.3822 4.8371 6.4385
angles: 90.00 115.81 90.00
Atoms (fractional coordinates):
Ba 0.0000 0.0000 0.0000
Ba 0.5000 0.5000 0.0000
Mg 0.1958 0.0000 0.5887
Mg 0.4823 0.0000 0.4487
Mg 0.6958 0.5000 0.5887
Mg 0.9823 0.5000 0.4487
Fe 0.3128 0.5000 0.4407
Fe 0.8128 0.0000 0.4407

---

Below is CeZrAgPb after structural relaxation, with properties calculated at the PBE level.

Results
Calculated volume ... 25.4 Å³ per atom
Energy of formation from the pure elements ... -101 meV per atom
SG ... No. 216

abc: 7.4029 7.4029 7.4029
angles: 90.00 90.00 90.00
Atoms (fractional coordinates):
Ce 0.0000 0.0000 0.0000
Ce 0.0000 0.5000 0.5000
Ce 0.5000 0.0000 0.5000
Ce 0.5000 0.5000 0.0000
Zr 0.0000 0.0000 0.5000
Zr 0.0000 0.5000 0.0000
Zr 0.5000 0.0000 0.0000
Zr 0.5000 0.5000 0.5000
Ag 0.2500 0.2500 0.2500
Ag 0.2500 0.7500 0.7500
Ag 0.7500 0.2500 0.7500
Ag 0.7500 0.7500 0.2500
Pb 0.2500 0.2500 0.7500
Pb 0.2500 0.7500 0.2500
Pb 0.7500 0.2500 0.2500
Pb 0.7500 0.7500 0.7500

---

Below is Na2ErCrS4 after structural relaxation, with properties calculated at the PBE level.

Results
Calculated volume ... 20.3 Å³ per atom
Formation energy (no corrections) ... -1.344 eV/atom
SG ... No. 10

abc: 6.4790 3.7816 6.9979
angles: 90.00 108.33 90.00
Atoms (fractional coordinates):
Na 0.0000 0.0000 0.0000
Na 0.5000 0.5000 0.0000
Er 0.0000 0.5000 0.5000
Cr 0.5000 0.0000 0.5000
S 0.2620 0.0000 0.7200
S 0.2881 0.5000 0.2945
S 0.7119 0.5000 0.7055
S 0.7380 0.0000 0.2800

---

Below is Hf2CuPd after structural relaxation, with properties calculated at the PBE level.

Results
Calculated volume ... 18.7 Å³ per atom
Energy of formation from the pure elements ... 57 meV per atom
SG ... No. 122

abc: 7.3138 7.3138 5.6043
angles: 90.00 90.00 90.00
Atoms (fractional coordinates):
Hf 0.2500 0.2500 0.1250
Hf 0.2500 0.2500 0.6250
Hf 0.2500 0.7500 0.3750
Hf 0.2500 0.7500 0.8750
Hf 0.7500 0.2500 0.3750
Hf 0.7500 0.2500 0.8750
Hf 0.7500 0.7500 0.1250
Hf 0.7500 0.7500 0.6250
Cu 0.0000 0.0000 0.0000
Cu 0.0000 0.5000 0.2500
Cu 0.5000 0.0000 0.7500
Cu 0.5000 0.5000 0.5000
Pd 0.0000 0.0000 0.5000
Pd 0.0000 0.5000 0.7500
Pd 0.5000 0.0000 0.2500
Pd 0.5000 0.5000 0.0000

---

Below is Tc2HgRh after structural relaxation, with properties calculated at the PBE level.

Results
Calculated volume ... 15.7 Å³ per atom
Energy of formation from the pure elements ... 391 meV per atom
SG ... No. 139

abc: 3.8262 3.8262 8.6050
angles: 90.00 90.00 90.00
Atoms (fractional coordinates):
Tc 0.0000 0.5000 0.2500
Tc 0.0000 0.5000 0.7500
Tc 0.5000 0.0000 0.2500
Tc 0.5000 0.0000 0.7500
Hg 0.0000 0.0000 0.0000
Hg 0.5000 0.5000 0.5000
Rh 0.0000 0.0000 0.5000
Rh 0.5000 0.5000 0.0000

---

Below is Cd2Sb2Pd5 after structural relaxation, with properties calculated at the PBE level.

Results
Calculated volume ... 19.4 Å³ per atom
Formation energy (no corrections) ... -0.251 eV/atom
SG ... No. 64

abc: 7.8235 7.8235 7.0037
angles: 90.00 90.00 54.58
Atoms (fractional coordinates):
Cd 0.2029 0.2029 0.0000
Cd 0.2971 0.2971 0.5000
Cd 0.7029 0.7029 0.5000
Cd 0.7971 0.7971 0.0000
Sb 0.1515 0.8485 0.6500
Sb 0.3485 0.6515 0.1500
Sb 0.6515 0.3485 0.8500
Sb 0.8485 0.1515 0.3500
Pd 0.0000 0.0000 0.0000
Pd 0.0189 0.7185 0.3502
Pd 0.2185 0.5189 0.8502
Pd 0.2815 0.9811 0.3502
Pd 0.4811 0.7815 0.8502
Pd 0.5000 0.5000 0.5000
Pd 0.5189 0.2185 0.1498
Pd 0.7185 0.0189 0.6498
Pd 0.7815 0.4811 0.1498
Pd 0.9811 0.2815 0.6498

---

Please write out number 1 again, unchanged.
Below is BaMg2Fe after structural relaxation, with properties calculated at the PBE level.

Results
Calculated volume ... 29.4 Å³ per atom
Energy of formation from the pure elements ... 338 meV per atom
SG ... No. 8

abc: 8.3822 4.8371 6.4385
angles: 90.00 115.81 90.00
Atoms (fractional coordinates):
Ba 0.0000 0.0000 0.0000
Ba 0.5000 0.5000 0.0000
Mg 0.1958 0.0000 0.5887
Mg 0.4823 0.0000 0.4487
Mg 0.6958 0.5000 0.5887
Mg 0.9823 0.5000 0.4487
Fe 0.3128 0.5000 0.4407
Fe 0.8128 0.0000 0.4407